The following is a GGA-PBEsol calculation of crystalline AlCo2Ir at its relaxed geometry, from Alexandria.

Cell: 2.6669 2.6669 8.1309 Å, 80.56 80.56 60.00°
Positions (direct):
Al  0.2536  0.2536  0.2392
Co  0.7453  0.7453  0.7641
Co  0.0013  0.0013  0.9962
Ir  0.4998  0.4998  0.5006

energy of formation from the pure elements = -0.11 eV/atom
symmetry = R3m
raw total energy = -29.826 eV per cell